First-principles (PBEsol) data for a geometry-optimized ReTeBr3 structure, as listed in Alexandria via LeMat-Bulk.

a = 4.974 Å, b = 4.974 Å, c = 4.974 Å
α = 90.00°, β = 90.00°, γ = 90.00°
Fractional coordinates of all 5 atoms:
Re (0.000, 0.000, 0.000)
Te (0.500, 0.500, 0.500)
Br (0.000, 0.500, 0.000)
Br (0.000, 0.000, 0.500)
Br (0.500, 0.000, 0.000)

Results
M_tot = 0.64 μB/cell
Total energy = -3.872 eV/atom

---

First-principles (PBEsol) data for a geometry-optimized ReTeBr structure, as listed in Alexandria via LeMat-Bulk.

a = 4.477 Å, b = 4.477 Å, c = 4.477 Å
α = 60.00°, β = 60.00°, γ = 60.00°
Fractional coordinates of all 3 atoms:
Re (0.250, 0.250, 0.250)
Te (0.000, 0.000, 0.000)
Br (0.500, 0.500, 0.500)

Results
M_tot = 0.00 μB/cell
Total energy = -5.751 eV/atom

---

First-principles (PBEsol) data for a geometry-optimized ReTe4Br structure, as listed in Alexandria via LeMat-Bulk.

a = 6.157 Å, b = 6.157 Å, c = 6.157 Å
α = 60.00°, β = 60.00°, γ = 60.00°
Fractional coordinates of all 6 atoms:
Re (0.000, 0.000, 0.000)
Te (0.374, 0.374, 0.374)
Te (0.374, 0.374, 0.877)
Te (0.877, 0.374, 0.374)
Te (0.374, 0.877, 0.374)
Br (0.750, 0.750, 0.750)

Results
M_tot = 4.62 μB/cell
Total energy = -3.705 eV/atom

---

First-principles (PBEsol) data for a geometry-optimized ReTe3Br5 structure, as listed in Alexandria via LeMat-Bulk.

a = 8.530 Å, b = 11.440 Å, c = 12.372 Å
α = 106.89°, β = 90.00°, γ = 90.00°
Fractional coordinates of all 36 atoms:
Re (0.141, 0.775, 0.211)
Re (0.920, 0.630, 0.278)
Re (0.420, 0.370, 0.722)
Re (0.641, 0.225, 0.789)
Te (0.182, 0.928, 0.082)
Te (0.728, 0.368, 0.659)
Te (0.545, 0.437, 0.924)
Te (0.739, 0.604, 0.449)
Te (0.037, 0.829, 0.426)
Te (0.228, 0.632, 0.341)
Te (0.842, 0.806, 0.191)
Te (0.537, 0.171, 0.574)
Te (0.342, 0.194, 0.809)
Te (0.682, 0.072, 0.918)
Te (0.239, 0.396, 0.551)
Te (0.045, 0.563, 0.076)
Br (0.986, 0.104, 0.147)
Br (0.437, 0.587, 0.690)
Br (0.387, 0.726, 0.081)
Br (0.054, 0.212, 0.489)
Br (0.416, 0.337, 0.373)
Br (0.916, 0.663, 0.627)
Br (0.554, 0.788, 0.511)
Br (0.316, 0.967, 0.303)
Br (0.041, 0.827, 0.894)
Br (0.771, 0.001, 0.370)
Br (0.541, 0.173, 0.106)
Br (0.887, 0.274, 0.919)
Br (0.486, 0.896, 0.853)
Br (0.637, 0.549, 0.219)
Br (0.816, 0.033, 0.697)
Br (0.261, 0.401, 0.098)
Br (0.271, 0.999, 0.630)
Br (0.761, 0.599, 0.902)
Br (0.137, 0.451, 0.781)
Br (0.937, 0.413, 0.310)

Results
M_tot = 0.00 μB/cell
Total energy = -3.936 eV/atom